No. 1
Computed, not measured: a geometry-optimized Ce2YInC structure at the GGA-PBE level of DFT.

a = 4.961 Å, b = 4.961 Å, c = 5.002 Å
α = 90.00°, β = 90.00°, γ = 90.00°
Space group P4/mmm (No. 123)
One atom of each set of equivalent atoms:
Ce  0.000  0.500  0.000 (multiplicity 2)
Y  0.000  0.000  0.500 (multiplicity 1)
In  0.500  0.500  0.500 (multiplicity 1)
C  0.000  0.000  0.000 (multiplicity 1)

## Properties
* E_tot: -0.4721 Ry/atom
* energy relative to the elements: -0.36 eV/atom

---

No. 2
Computed, not measured: a geometry-optimized CeIrC structure at the GGA-PBE level of DFT.

a = 7.521 Å, b = 4.401 Å, c = 7.340 Å
α = 90.00°, β = 111.05°, γ = 90.00°
Space group C2/m (No. 12)
One atom of each set of equivalent atoms:
Ce  0.098  0.000  0.307 (multiplicity 4)
Ir  0.203  0.500  0.056 (multiplicity 4)
C  0.232  0.000  0.659 (multiplicity 4)

## Properties
* energy above the most stable polymorph in this dataset: 0.61 kcal/mol of atoms
* E_tot: -0.5936 Ry/atom
* energy relative to the elements: -0.07 eV/atom

---

No. 3
Computed, not measured: a geometry-optimized Ce3IrC structure at the GGA-PBE level of DFT.

a = 8.224 Å, b = 6.155 Å, c = 9.231 Å
α = 90.00°, β = 113.92°, γ = 90.00°
Space group P2_1/c (No. 14)
One atom of each set of equivalent atoms:
Ce  0.084  0.082  0.355 (multiplicity 4)
Ce  0.218  0.594  0.554 (multiplicity 4)
Ce  0.376  0.126  0.772 (multiplicity 4)
Ir  0.414  0.669  0.900 (multiplicity 4)
C  0.075  0.244  0.600 (multiplicity 4)

## Properties
* E_tot: -0.5534 Ry/atom
* energy relative to the elements: -0.35 eV/atom

---

No. 4
Computed, not measured: a geometry-optimized Ce4IrC structure at the GGA-PBE level of DFT.

a = 7.656 Å, b = 13.388 Å, c = 6.438 Å
α = 90.00°, β = 122.99°, γ = 90.00°
Space group C2/c (No. 15)
One atom of each set of equivalent atoms:
Ce  0.145  0.208  0.188 (multiplicity 8)
Ce  0.245  0.057  0.726 (multiplicity 8)
Ir  0.000  0.391  0.750 (multiplicity 4)
C  0.000  0.055  0.250 (multiplicity 4)

## Properties
* E_tot: -0.5338 Ry/atom
* energy relative to the elements: -0.29 eV/atom

---

No. 5
Computed, not measured: a geometry-optimized CeIrC structure at the GGA-PBE level of DFT.

a = 3.7532 Å, b = 3.7532 Å, c = 3.9782 Å
α = 90.00°, β = 90.00°, γ = 120.00°
Space group P-6m2 (No. 187)
One atom of each set of equivalent atoms:
Ce  0.0000  0.0000  0.0000 (multiplicity 1)
Ir  0.6667  0.3333  0.5000 (multiplicity 1)
C  0.3333  0.6667  0.5000 (multiplicity 1)

## Properties
* energy above the most stable polymorph in this dataset: 0.00 kcal/mol of atoms
* E_tot: -0.5956 Ry/atom
* energy relative to the elements: -0.10 eV/atom

---

No. 6
Computed, not measured: a geometry-optimized Ce8Ir2C structure at the GGA-PBE level of DFT.

a = 17.270 Å, b = 3.636 Å, c = 8.410 Å
α = 90.00°, β = 96.55°, γ = 90.00°
Space group C2/m (No. 12)
One atom of each set of equivalent atoms:
Ce  0.015  0.000  0.208 (multiplicity 4)
Ce  0.091  0.500  0.514 (multiplicity 4)
Ce  0.149  0.500  0.993 (multiplicity 4)
Ce  0.213  0.000  0.343 (multiplicity 4)
Ir  0.168  0.000  0.736 (multiplicity 4)
C  0.000  0.500  0.000 (multiplicity 2)

## Properties
* E_tot: -0.5212 Ry/atom
* energy relative to the elements: -0.33 eV/atom

---

No. 7
Computed, not measured: a geometry-optimized Ce5IrC4 structure at the GGA-PBE level of DFT.

a = 7.250 Å, b = 8.207 Å, c = 6.038 Å
α = 90.00°, β = 90.00°, γ = 90.00°
Space group Pmmn (No. 59, origin choice 2)
One atom of each set of equivalent atoms:
Ce  0.007  0.061  0.221 (multiplicity 8)
Ce  0.250  0.250  0.657 (multiplicity 2)
Ir  0.250  0.750  0.345 (multiplicity 2)
C  0.035  0.750  0.112 (multiplicity 4)
C  0.250  0.518  0.486 (multiplicity 4)

## Properties
* E_tot: -0.5532 Ry/atom
* energy relative to the elements: 0.02 eV/atom

---

No. 8
Computed, not measured: a geometry-optimized Ce4IrC2 structure at the GGA-PBE level of DFT.

a = 3.701 Å, b = 12.059 Å, c = 12.904 Å
α = 90.00°, β = 90.00°, γ = 90.00°
Space group Cmcm (No. 63)
One atom of each set of equivalent atoms:
Ce  0.000  0.000  0.000 (multiplicity 4)
Ce  0.000  0.275  0.111 (multiplicity 8)
Ce  0.000  0.433  0.750 (multiplicity 4)
Ir  0.000  0.107  0.750 (multiplicity 4)
C  0.000  0.365  0.562 (multiplicity 8)

## Properties
* E_tot: -0.5590 Ry/atom
* energy relative to the elements: -0.31 eV/atom

---

No. 9
Computed, not measured: a geometry-optimized Ce6IrPb2C structure at the GGA-PBE level of DFT.

a = 5.228 Å, b = 5.228 Å, c = 10.521 Å
α = 90.00°, β = 90.00°, γ = 90.00°
Space group P4/mmm (No. 123)
One atom of each set of equivalent atoms:
Ce  0.000  0.000  0.227 (multiplicity 2)
Ce  0.000  0.500  0.000 (multiplicity 2)
Ce  0.000  0.500  0.500 (multiplicity 2)
Ir  0.000  0.000  0.500 (multiplicity 1)
Pb  0.500  0.500  0.241 (multiplicity 2)
C  0.000  0.000  0.000 (multiplicity 1)

## Properties
* E_tot: -0.4745 Ry/atom
* energy relative to the elements: -0.35 eV/atom

---

No. 10
Computed, not measured: a geometry-optimized Ce6Sn2IrC structure at the GGA-PBE level of DFT.

a = 5.202 Å, b = 5.202 Å, c = 10.457 Å
α = 90.00°, β = 90.00°, γ = 90.00°
Space group P4/mmm (No. 123)
One atom of each set of equivalent atoms:
Ce  0.000  0.000  0.227 (multiplicity 2)
Ce  0.000  0.500  0.000 (multiplicity 2)
Ce  0.000  0.500  0.500 (multiplicity 2)
Sn  0.500  0.500  0.240 (multiplicity 2)
Ir  0.000  0.000  0.500 (multiplicity 1)
C  0.000  0.000  0.000 (multiplicity 1)

## Properties
* E_tot: -0.4832 Ry/atom
* energy relative to the elements: -0.40 eV/atom

---

No. 11
Computed, not measured: a geometry-optimized KCe2C2N6 structure at the GGA-PBE level of DFT.

a = 5.956 Å, b = 5.969 Å, c = 6.161 Å
α = 68.48°, β = 68.53°, γ = 63.06°
Space group P-1 (No. 2)
One atom of each set of equivalent atoms:
K  0.000  0.000  0.000 (multiplicity 1)
Ce  0.325  0.325  0.305 (multiplicity 2)
C  0.334  0.333  0.754 (multiplicity 2)
N  0.105  0.473  0.688 (multiplicity 2)
N  0.422  0.421  0.868 (multiplicity 2)
N  0.474  0.104  0.688 (multiplicity 2)

## Properties
* E_form (uncorrected): -0.53 eV per atom
* E_tot: -0.5826 Ry/atom

---

No. 12
Computed, not measured: a geometry-optimized LaCeC structure at the GGA-PBE level of DFT.

a = 3.6257 Å, b = 3.6257 Å, c = 5.4150 Å
α = 90.00°, β = 90.00°, γ = 120.00°
Space group P3m1 (No. 156)
One atom of each set of equivalent atoms:
La  0.0000  0.0000  0.0000 (multiplicity 1)
Ce  0.6667  0.3333  0.4568 (multiplicity 1)
C  0.3333  0.6667  0.7034 (multiplicity 1)

## Properties
* energy above the most stable polymorph in this dataset: 0.90 kcal/mol of atoms
* E_tot: -0.4976 Ry/atom
* energy relative to the elements: -0.08 eV/atom

---

No. 13
Computed, not measured: a geometry-optimized LaCeC structure at the GGA-PBE level of DFT.

a = 3.238 Å, b = 3.238 Å, c = 12.699 Å
α = 90.00°, β = 90.00°, γ = 90.00°
Space group I4mm (No. 107)
One atom of each set of equivalent atoms:
La  0.000  0.000  0.000 (multiplicity 2)
Ce  0.000  0.000  0.776 (multiplicity 2)
C  0.000  0.000  0.376 (multiplicity 2)

## Properties
* energy above the most stable polymorph in this dataset: 7.00 kcal/mol of atoms
* E_tot: -0.4782 Ry/atom
* energy relative to the elements: 0.19 eV/atom

---

No. 14
Computed, not measured: a geometry-optimized LaCeC structure at the GGA-PBE level of DFT.

a = 6.310 Å, b = 3.631 Å, c = 6.980 Å
α = 90.00°, β = 106.01°, γ = 90.00°
Space group P2_1/m (No. 11)
One atom of each set of equivalent atoms:
La  0.016  0.250  0.282 (multiplicity 2)
Ce  0.481  0.250  0.710 (multiplicity 2)
C  0.272  0.750  0.507 (multiplicity 2)

## Properties
* energy above the most stable polymorph in this dataset: 0.06 kcal/mol of atoms
* E_tot: -0.5003 Ry/atom
* energy relative to the elements: -0.11 eV/atom

---

No. 15
Computed, not measured: a geometry-optimized LaCeC2 structure at the GGA-PBE level of DFT.

a = 3.7334 Å, b = 3.7334 Å, c = 18.3507 Å
α = 90.00°, β = 90.00°, γ = 120.00°
Space group R-3m (No. 166, hexagonal axes)
One atom of each set of equivalent atoms:
La  0.0000  0.0000  0.0000 (multiplicity 3)
Ce  0.0000  0.0000  0.5000 (multiplicity 3)
C  0.0000  0.0000  0.2416 (multiplicity 6)

## Properties
* energy above the most stable polymorph in this dataset: 3.37 kcal/mol of atoms
* E_tot: -0.5290 Ry/atom
* energy relative to the elements: 0.13 eV/atom

---

No. 16
Computed, not measured: a geometry-optimized LaCe2C2 structure at the GGA-PBE level of DFT.

a = 7.066 Å, b = 7.066 Å, c = 10.858 Å
α = 90.00°, β = 90.00°, γ = 90.00°
Space group I4_1md (No. 109)
One atom of each set of equivalent atoms:
La  0.000  0.000  0.000 (multiplicity 4)
Ce  0.000  0.257  0.591 (multiplicity 8)
C  0.000  0.217  0.377 (multiplicity 8)

## Properties
* E_tot: -0.5079 Ry/atom
* energy relative to the elements: 0.14 eV/atom

---

No. 17
Computed, not measured: a geometry-optimized La3CeC2 structure at the GGA-PBE level of DFT.

a = 17.559 Å, b = 3.673 Å, c = 12.803 Å
α = 90.00°, β = 128.61°, γ = 90.00°
Space group C2/m (No. 12)
One atom of each set of equivalent atoms:
La  0.142  0.000  0.200 (multiplicity 4)
La  0.144  0.500  0.453 (multiplicity 4)
La  0.145  0.500  0.949 (multiplicity 4)
Ce  0.150  0.000  0.705 (multiplicity 4)
C  0.245  0.500  0.865 (multiplicity 4)
C  0.248  0.000  0.628 (multiplicity 4)

## Properties
* E_tot: -0.4883 Ry/atom
* energy relative to the elements: -0.12 eV/atom

---

No. 18
Computed, not measured: a geometry-optimized LaCe2C3 structure at the GGA-PBE level of DFT.

a = 5.738 Å, b = 10.584 Å, c = 7.675 Å
α = 90.00°, β = 90.00°, γ = 90.00°
Space group Imma (No. 74)
One atom of each set of equivalent atoms:
La  0.000  0.250  0.053 (multiplicity 4)
Ce  0.000  0.075  0.669 (multiplicity 8)
C  0.120  0.000  0.000 (multiplicity 8)
C  0.250  0.250  0.750 (multiplicity 4)

## Properties
* E_tot: -0.5520 Ry/atom
* energy relative to the elements: -0.10 eV/atom

---

No. 19
Computed, not measured: a geometry-optimized LaCeC structure at the GGA-PBE level of DFT.

a = 6.299 Å, b = 3.636 Å, c = 7.032 Å
α = 90.00°, β = 107.26°, γ = 90.00°
Space group Cm (No. 8)
One atom of each set of equivalent atoms:
La  0.000  0.000  0.000 (multiplicity 2)
Ce  0.475  0.000  0.426 (multiplicity 2)
C  0.245  0.500  0.236 (multiplicity 2)

## Properties
* energy above the most stable polymorph in this dataset: 0.00 kcal/mol of atoms
* E_tot: -0.5005 Ry/atom
* energy relative to the elements: -0.11 eV/atom

---

No. 20
Computed, not measured: a geometry-optimized LaCe2C structure at the GGA-PBE level of DFT.

a = 3.5119 Å, b = 3.5119 Å, c = 28.1243 Å
α = 90.00°, β = 90.00°, γ = 120.00°
Space group R-3m (No. 166, hexagonal axes)
One atom of each set of equivalent atoms:
La  0.0000  0.0000  0.0000 (multiplicity 3)
Ce  0.0000  0.0000  0.1158 (multiplicity 6)
C  0.0000  0.0000  0.5000 (multiplicity 3)

## Properties
* energy above the most stable polymorph in this dataset: 0.85 kcal/mol of atoms
* E_tot: -0.4809 Ry/atom
* energy relative to the elements: -0.04 eV/atom